Compound: Pa3AgSe2O6
Source: Alexandria via LeMat-Bulk
Functional: PBE-GGA
Structure: relaxed

Cell lengths 12.3900, 7.6687, 6.1056 Å; angles 90.00, 109.35, 90.00 degrees
Last column: nearest neighbours and their distance in Å.
Space group C2/m (No. 12)
Inequivalent atoms, fractional coordinates:
Pa 0.0000 0.0000 0.0000 x2  4 O 2.13
Pa 0.2500 0.2500 0.5000 x4  4 O 2.10-2.19
Ag 0.0000 0.5000 0.5000 x2  2 O 2.12
Se 0.1775 0.0000 0.7810 x4  3 Pa 2.91-2.93, 1 O 3.16
O 0.0984 0.1946 0.2280 x8  2 Pa 2.10-2.13
O 0.1792 0.5000 0.5618 x4  1 Ag 2.12, 2 Pa 2.19

Theoretical density: 6.40 g cm⁻³
Crystal system: monoclinic
Formation energy (no corrections): -2607.2 meV/atom
DOS(E_F): 0.0 states/eV/f.u.


Compound: PaAg2SeO6
Source: Alexandria via LeMat-Bulk
Functional: PBE-GGA
Structure: relaxed

Cell lengths 5.6631, 5.6631, 14.3064 Å; angles 90.00, 90.00, 120.00 degrees
Last column: nearest neighbours and their distance in Å.
Space group R-3 (No. 148, hexagonal axes)
Inequivalent atoms, fractional coordinates:
Pa 0.0000 0.0000 0.0000 x3  6 O 2.19
Ag 0.0000 0.0000 0.2482 x6  3 O 2.34
Se 0.0000 0.0000 0.5000 x3  6 O 1.97
O 0.0204 0.5971 0.2463 x18  1 Se 1.97, 1 Pa 2.19

Theoretical density: 7.79 g cm⁻³
Crystal system: trigonal
Formation energy (no corrections): -1348.2 meV/atom
DOS(E_F): 4.1 states/eV/f.u.


Compound: PaAg2SeO8
Source: Alexandria via LeMat-Bulk
Functional: PBE-GGA
Structure: relaxed

Cell lengths 5.4451, 5.4451, 5.9306 Å; angles 90.00, 90.00, 120.00 degrees
Last column: nearest neighbours and their distance in Å.
Space group P-3m1 (No. 164)
Inequivalent atoms, fractional coordinates:
Pa 0.0000 0.0000 0.0000 x1  6 O 2.32
Ag 0.3333 0.6667 0.3881 x2  1 O 2.04
Se 0.0000 0.0000 0.5000 x1  6 O 1.83
O 0.1518 0.3035 0.6919 x6  1 Se 1.83
O 0.3333 0.6667 0.0442 x2  1 Ag 2.04

Theoretical density: 7.13 g cm⁻³
Crystal system: trigonal
Formation energy (no corrections): -695.0 meV/atom
DOS(E_F): 4.8 states/eV/f.u.


Compound: Pa2AgSeO8
Source: Alexandria via LeMat-Bulk
Functional: PBE-GGA
Structure: relaxed

Cell lengths 5.2462, 5.2462, 7.0734 Å; angles 90.00, 90.00, 120.00 degrees
Last column: nearest neighbours and their distance in Å.
Space group P-3m1 (No. 164)
Inequivalent atoms, fractional coordinates:
Pa 0.3333 0.6667 0.3432 x2  1 O 1.87
Ag 0.0000 0.0000 0.0000 x1  12 O 2.95-3.08
Se 0.0000 0.0000 0.5000 x1  6 O 1.85
O 0.1696 0.3391 0.6444 x6  1 Se 1.85
O 0.3333 0.6667 0.0786 x2  1 Pa 1.87

Theoretical density: 7.65 g cm⁻³
Crystal system: trigonal
Formation energy (no corrections): -1845.7 meV/atom
DOS(E_F): 4.4 states/eV/f.u.


Compound: PaAgSeO5
Source: Alexandria via LeMat-Bulk
Functional: PBE-GGA
Structure: relaxed

Cell lengths 8.1953, 8.9551, 8.5147 Å; angles 90.00, 118.53, 90.00 degrees
Last column: nearest neighbours and their distance in Å.
Space group C2/c (No. 15)
Inequivalent atoms, fractional coordinates:
Pa 0.2500 0.2500 0.0000 x4  4 O 2.11-2.14
Ag 0.0000 0.0529 0.2500 x4  4 O 2.31-2.58
Se 0.0000 0.4305 0.2500 x4  2 O 1.71
O 0.0000 0.2603 0.7500 x4  2 Pa 2.14
O 0.0773 0.3028 0.1505 x8  1 Se 1.71
O 0.2387 0.0163 0.0263 x8  1 Pa 2.11, 1 Se 2.22, 1 Ag 2.31

Theoretical density: 6.02 g cm⁻³
Crystal system: monoclinic
Formation energy (no corrections): -1749.0 meV/atom
DOS(E_F): 0.0 states/eV/f.u.


Compound: PaSiAgO5
Source: Alexandria via LeMat-Bulk
Functional: PBE-GGA
Structure: relaxed

Cell lengths 7.8114, 8.9052, 8.2457 Å; angles 90.00, 118.13, 90.00 degrees
Last column: nearest neighbours and their distance in Å.
Space group C2/c (No. 15)
Inequivalent atoms, fractional coordinates:
Pa 0.2500 0.2500 0.0000 x4  6 O 2.17-2.21
Si 0.0000 0.0853 0.2500 x4  4 O 1.65
Ag 0.0000 0.4262 0.2500 x4  3 O 2.21-2.41
O 0.0000 0.3252 0.7500 x4  2 Pa 2.17, 1 Ag 2.21
O 0.0674 0.1990 0.1320 x8  1 Si 1.65
O 0.1821 0.0227 0.8871 x8  1 Si 1.65

Theoretical density: 5.87 g cm⁻³
Crystal system: monoclinic
Formation energy (no corrections): -2620.9 meV/atom
DOS(E_F): 0.0 states/eV/f.u.


Compound: PaSiAg2O8
Source: Alexandria via LeMat-Bulk
Functional: PBE-GGA
Structure: relaxed

Cell lengths 6.0403, 6.0403, 5.5650 Å; angles 90.00, 90.00, 120.00 degrees
Last column: nearest neighbours and their distance in Å.
Space group P-3m1 (No. 164)
Inequivalent atoms, fractional coordinates:
Pa 0.0000 0.0000 0.0000 x1  6 O 2.19
Si 0.0000 0.0000 0.5000 x1  6 O 1.81
Ag 0.3333 0.6667 0.5496 x2  4 O 2.01-2.23
O 0.1362 0.2724 0.7011 x6  1 Si 1.81
O 0.3333 0.6667 0.1889 x2  1 Ag 2.01

Theoretical density: 5.69 g cm⁻³
Crystal system: trigonal
Formation energy (no corrections): -1117.0 meV/atom
DOS(E_F): 10.3 states/eV/f.u.


Compound: PaAg2SnO8
Source: Alexandria via LeMat-Bulk
Functional: PBE-GGA
Structure: relaxed

Cell lengths 6.9934, 6.9934, 7.0443 Å; angles 90.00, 90.00, 90.00 degrees
Last column: nearest neighbours and their distance in Å.
Space group I-4m2 (No. 119)
Inequivalent atoms, fractional coordinates:
Pa 0.0000 0.0000 0.0000 x2  8 O 2.25-2.32
Ag 0.0000 0.0000 0.5000 x2  4 O 2.08
Ag 0.0000 0.5000 0.2500 x2  4 O 2.11
Sn 0.0000 0.5000 0.7500 x2  8 O 2.19-2.21
O 0.0000 0.1880 0.7295 x8  1 Ag 2.08, 1 O 2.17, 1 Sn 2.19, 1 Pa 2.32
O 0.0000 0.3214 0.0080 x8  1 Ag 2.11, 1 O 2.17, 1 Sn 2.21, 1 Pa 2.25

Theoretical density: 6.68 g cm⁻³
Crystal system: tetragonal
Formation energy (no corrections): -1113.9 meV/atom
DOS(E_F): 4.2 states/eV/f.u.


What is the formula in the seventh record?
PaSiAg2O8


What is the formula in the fourth record?
Pa2AgSeO8


Which formula does entry 3 have?
PaAg2SeO8


What is the formation energy (no corrections) in the third record?
-695.0 meV/atom